Entry 1:
DFT (PBE) results for NaSrGa2H8 after structural relaxation.

## Properties
density: 2.72 g/cm³
energy: -3.084 eV/atom
total magnetization: 0.0 Bohr magnetons per cell

a = 4.563 Å, b = 4.563 Å, c = 8.739 Å
α = 90.00°, β = 90.00°, γ = 120.00°
Positions (direct):
Na: 0.000 0.000 0.000
Sr: 0.000 0.000 0.500
Ga: 0.333 0.667 0.266
Ga: 0.667 0.333 0.734
H: 0.015 0.307 0.233
H: 0.292 0.985 0.233
H: 0.307 0.292 0.767
H: 0.333 0.667 0.465
H: 0.667 0.333 0.535
H: 0.693 0.708 0.233
H: 0.708 0.015 0.767
H: 0.985 0.693 0.767


Entry 2:
DFT (PBE) results for NaSrGaH6 after structural relaxation.

## Properties
density: 2.62 g/cm³
energy: -3.029 eV/atom
total magnetization: 0.0 Bohr magnetons per cell

a = 5.284 Å, b = 5.284 Å, c = 4.892 Å
α = 90.00°, β = 90.00°, γ = 120.00°
Positions (direct):
Na: 0.000 0.000 0.000
Sr: 0.667 0.333 0.500
Ga: 0.333 0.667 0.000
H: 0.064 0.390 0.212
H: 0.064 0.674 0.788
H: 0.326 0.390 0.788
H: 0.326 0.936 0.212
H: 0.610 0.674 0.212
H: 0.610 0.936 0.788